Arrangement a

{
  "formula": "YMoSCl2",
  "functional": "PBE",
  "state": "relaxed",
  "density_g_cm3": 3.3,
  "lattice": [[5.221, 0.000, 0.000], [0.000, 5.221, 0.000], [0.000, 0.000, 5.319]],
  "species": ["Y", "Mo", "S", "Cl", "Cl"],
  "fractional_positions": [[0.000, 0.000, 0.000], [0.500, 0.500, 0.500], [0.000, 0.000, 0.500], [0.000, 0.500, 0.000], [0.500, 0.000, 0.000]]
}

Arrangement b

{
  "formula": "YMoSCl2",
  "functional": "PBE",
  "state": "relaxed",
  "density_g_cm3": 4.4,
  "lattice": [[4.788, 0.000, 0.000], [0.000, 4.788, 0.000], [0.000, 0.000, 4.768]],
  "species": ["Y", "Mo", "S", "Cl", "Cl"],
  "fractional_positions": [[0.000, 0.000, 0.000], [0.500, 0.500, 0.500], [0.500, 0.500, 0.000], [0.000, 0.500, 0.500], [0.500, 0.000, 0.500]]
}

It turns out arrangement a is the most stable, with the second structure 104 meV per atom higher.

Arrangement a

{
  "formula": "ZrMoS2Cl",
  "functional": "PBE",
  "state": "relaxed",
  "density_g_cm3": 3.8,
  "lattice": [[5.008, 0.000, 0.000], [0.000, 5.008, 0.000], [0.000, 0.000, 4.976]],
  "species": ["Zr", "Mo", "S", "S", "Cl"],
  "fractional_positions": [[0.000, 0.000, 0.000], [0.500, 0.500, 0.500], [0.000, 0.500, 0.000], [0.500, 0.000, 0.000], [0.000, 0.000, 0.500]]
}

Arrangement b

{
  "formula": "ZrMoS2Cl",
  "functional": "PBE",
  "state": "relaxed",
  "density_g_cm3": 4.7,
  "lattice": [[4.672, 0.000, 0.000], [0.000, 4.672, 0.000], [0.000, 0.000, 4.691]],
  "species": ["Zr", "Mo", "S", "S", "Cl"],
  "fractional_positions": [[0.000, 0.000, 0.000], [0.500, 0.500, 0.500], [0.000, 0.500, 0.500], [0.500, 0.000, 0.500], [0.500, 0.500, 0.000]]
}

It turns out arrangement a is the most stable, with the second structure 166 meV per atom higher.

Arrangement a

{
  "formula": "Sb3MoCl",
  "functional": "PBE",
  "state": "relaxed",
  "density_g_cm3": 5.8,
  "lattice": [[5.220, 0.000, 0.000], [0.000, 5.220, 0.000], [0.000, 0.000, 5.220]],
  "species": ["Sb", "Sb", "Sb", "Mo", "Cl"],
  "fractional_positions": [[0.000, 0.000, 0.500], [0.000, 0.500, 0.000], [0.500, 0.000, 0.000], [0.000, 0.000, 0.000], [0.500, 0.500, 0.500]]
}

Arrangement b

{
  "formula": "Sb3MoCl",
  "functional": "PBE",
  "state": "relaxed",
  "density_g_cm3": 5.9,
  "lattice": [[5.201, 0.000, 0.000], [0.000, 5.201, 0.000], [0.000, 0.000, 5.201]],
  "species": ["Sb", "Sb", "Sb", "Mo", "Cl"],
  "fractional_positions": [[0.000, 0.000, 0.500], [0.000, 0.500, 0.000], [0.500, 0.000, 0.000], [0.500, 0.500, 0.500], [0.000, 0.000, 0.000]]
}

It turns out arrangement a is the most stable, with the second structure 1072 meV per atom higher.

Arrangement a

{
  "formula": "SbMoCl",
  "functional": "PBE",
  "state": "relaxed",
  "density_g_cm3": 5.9,
  "lattice": [[3.125, 0.000, 0.000], [0.000, 3.125, 0.000], [0.000, 0.000, 14.474]],
  "species": ["Sb", "Sb", "Mo", "Mo", "Cl", "Cl"],
  "fractional_positions": [[0.000, 0.000, 0.000], [0.500, 0.500, 0.500], [0.000, 0.000, 0.371], [0.500, 0.500, 0.871], [0.000, 0.000, 0.769], [0.500, 0.500, 0.269]]
}

Arrangement b

{
  "formula": "SbMoCl",
  "functional": "PBE",
  "state": "relaxed",
  "density_g_cm3": 5.8,
  "lattice": [[3.029, 0.000, 0.000], [0.000, 5.717, 0.000], [0.000, 0.000, 16.707]],
  "species": ["Sb", "Sb", "Sb", "Sb", "Mo", "Mo", "Mo", "Mo", "Cl", "Cl", "Cl", "Cl"],
  "fractional_positions": [[0.000, 0.000, 0.000], [0.000, 0.500, 0.500], [0.500, 0.000, 0.500], [0.500, 0.500, 0.000], [0.000, 0.000, 0.645], [0.000, 0.500, 0.145], [0.500, 0.000, 0.145], [0.500, 0.500, 0.645], [0.000, 0.000, 0.257], [0.000, 0.500, 0.757], [0.500, 0.000, 0.757], [0.500, 0.500, 0.257]]
}

Arrangement c

{
  "formula": "SbMoCl",
  "functional": "PBE",
  "state": "relaxed",
  "density_g_cm3": 5.9,
  "lattice": [[6.566, 0.000, 0.000], [0.000, 6.566, 0.000], [0.000, 0.000, 6.566]],
  "species": ["Sb", "Sb", "Sb", "Sb", "Mo", "Mo", "Mo", "Mo", "Cl", "Cl", "Cl", "Cl"],
  "fractional_positions": [[0.000, 0.000, 0.000], [0.000, 0.500, 0.500], [0.500, 0.000, 0.500], [0.500, 0.500, 0.000], [0.250, 0.250, 0.750], [0.250, 0.750, 0.250], [0.750, 0.250, 0.250], [0.750, 0.750, 0.750], [0.000, 0.000, 0.500], [0.000, 0.500, 0.000], [0.500, 0.000, 0.000], [0.500, 0.500, 0.500]]
}

Arrangement d

{
  "formula": "SbMoCl",
  "functional": "PBE",
  "state": "relaxed",
  "density_g_cm3": 5.9,
  "lattice": [[3.265, 0.000, 0.000], [-1.632, 2.828, 0.000], [0.000, 0.000, 7.783]],
  "species": ["Sb", "Mo", "Cl"],
  "fractional_positions": [[0.000, 0.000, 0.000], [0.333, 0.667, 0.731], [0.667, 0.333, 0.524]]
}

It turns out arrangement d is the most stable, with the second structure 172 meV per atom higher.

Arrangement a

{
  "formula": "SbMoCl",
  "functional": "PBE",
  "state": "relaxed",
  "density_g_cm3": 7.2,
  "lattice": [[4.569, 0.000, 0.000], [-2.284, 3.957, 0.000], [0.000, 0.000, 3.235]],
  "species": ["Sb", "Mo", "Cl"],
  "fractional_positions": [[0.000, 0.000, 0.000], [0.667, 0.333, 0.500], [0.333, 0.667, 0.500]]
}

Arrangement b

{
  "formula": "SbMoCl",
  "functional": "PBE",
  "state": "relaxed",
  "density_g_cm3": 5.5,
  "lattice": [[6.754, 0.000, 0.000], [0.000, 6.754, 0.000], [0.000, 0.000, 6.754]],
  "species": ["Sb", "Sb", "Sb", "Sb", "Mo", "Mo", "Mo", "Mo", "Cl", "Cl", "Cl", "Cl"],
  "fractional_positions": [[0.000, 0.000, 0.000], [0.000, 0.500, 0.500], [0.500, 0.000, 0.500], [0.500, 0.500, 0.000], [0.250, 0.250, 0.750], [0.250, 0.750, 0.250], [0.750, 0.250, 0.250], [0.750, 0.750, 0.750], [0.250, 0.250, 0.250], [0.250, 0.750, 0.750], [0.750, 0.250, 0.750], [0.750, 0.750, 0.250]]
}

It turns out arrangement a is the most stable, with the second structure 600 meV per atom higher.

Arrangement a

{
  "formula": "SbTe2MoCl",
  "functional": "PBE",
  "state": "relaxed",
  "density_g_cm3": 5.8,
  "lattice": [[5.219, 0.000, 0.000], [0.000, 5.219, 0.000], [0.000, 0.000, 5.367]],
  "species": ["Sb", "Te", "Te", "Mo", "Cl"],
  "fractional_positions": [[0.000, 0.000, 0.000], [0.000, 0.500, 0.500], [0.500, 0.000, 0.500], [0.000, 0.000, 0.500], [0.500, 0.500, 0.000]]
}

Arrangement b

{
  "formula": "SbTe2MoCl",
  "functional": "PBE",
  "state": "relaxed",
  "density_g_cm3": 5.6,
  "lattice": [[5.443, 0.000, 0.000], [0.000, 5.443, 0.000], [0.000, 0.000, 5.121]],
  "species": ["Sb", "Te", "Te", "Mo", "Cl"],
  "fractional_positions": [[0.000, 0.000, 0.000], [0.000, 0.500, 0.500], [0.500, 0.000, 0.500], [0.500, 0.500, 0.000], [0.000, 0.000, 0.500]]
}

It turns out arrangement a is the most stable, with the second structure 1061 meV per atom higher.

Arrangement a

{
  "formula": "ScMoCl",
  "functional": "PBE",
  "state": "relaxed",
  "density_g_cm3": 5.6,
  "lattice": [[4.548, 0.000, 0.000], [-2.274, 3.938, 0.000], [0.000, 0.000, 2.925]],
  "species": ["Sc", "Mo", "Cl"],
  "fractional_positions": [[0.000, 0.000, 0.000], [0.667, 0.333, 0.500], [0.333, 0.667, 0.500]]
}

Arrangement b

{
  "formula": "ScMoCl",
  "functional": "PBE",
  "state": "relaxed",
  "density_g_cm3": 5.3,
  "lattice": [[6.042, 0.000, 0.000], [0.000, 6.042, 0.000], [0.000, 0.000, 6.042]],
  "species": ["Sc", "Sc", "Sc", "Sc", "Mo", "Mo", "Mo", "Mo", "Cl", "Cl", "Cl", "Cl"],
  "fractional_positions": [[0.000, 0.000, 0.000], [0.000, 0.500, 0.500], [0.500, 0.000, 0.500], [0.500, 0.500, 0.000], [0.000, 0.000, 0.500], [0.000, 0.500, 0.000], [0.500, 0.000, 0.000], [0.500, 0.500, 0.500], [0.250, 0.250, 0.250], [0.250, 0.750, 0.750], [0.750, 0.250, 0.750], [0.750, 0.750, 0.250]]
}

Arrangement c

{
  "formula": "ScMoCl",
  "functional": "PBE",
  "state": "relaxed",
  "density_g_cm3": 4.0,
  "lattice": [[6.642, 0.000, 0.000], [0.000, 6.642, 0.000], [0.000, 0.000, 6.642]],
  "species": ["Sc", "Sc", "Sc", "Sc", "Mo", "Mo", "Mo", "Mo", "Cl", "Cl", "Cl", "Cl"],
  "fractional_positions": [[0.000, 0.000, 0.000], [0.000, 0.500, 0.500], [0.500, 0.000, 0.500], [0.500, 0.500, 0.000], [0.250, 0.250, 0.250], [0.250, 0.750, 0.750], [0.750, 0.250, 0.750], [0.750, 0.750, 0.250], [0.250, 0.250, 0.750], [0.250, 0.750, 0.250], [0.750, 0.250, 0.250], [0.750, 0.750, 0.750]]
}

It turns out arrangement a is the most stable, with the second structure 349 meV per atom higher.

Arrangement a

{
  "formula": "Sc3MoCl",
  "functional": "PBE",
  "state": "relaxed",
  "density_g_cm3": 3.3,
  "lattice": [[5.133, 0.000, 0.000], [0.000, 5.133, 0.000], [0.000, 0.000, 5.133]],
  "species": ["Sc", "Sc", "Sc", "Mo", "Cl"],
  "fractional_positions": [[0.000, 0.000, 0.500], [0.000, 0.500, 0.000], [0.500, 0.000, 0.000], [0.000, 0.000, 0.000], [0.500, 0.500, 0.500]]
}

Arrangement b

{
  "formula": "Sc3MoCl",
  "functional": "PBE",
  "state": "relaxed",
  "density_g_cm3": 4.2,
  "lattice": [[4.707, 0.000, 0.000], [0.000, 4.707, 0.000], [0.000, 0.000, 4.707]],
  "species": ["Sc", "Sc", "Sc", "Mo", "Cl"],
  "fractional_positions": [[0.000, 0.000, 0.500], [0.000, 0.500, 0.000], [0.500, 0.000, 0.000], [0.500, 0.500, 0.500], [0.000, 0.000, 0.000]]
}

It turns out arrangement b is the most stable, with the second structure 303 meV per atom higher.

Arrangement a

{
  "formula": "ScMo3Cl",
  "functional": "PBE",
  "state": "relaxed",
  "density_g_cm3": 6.9,
  "lattice": [[4.469, 0.000, 0.000], [0.000, 4.469, 0.000], [0.000, 0.000, 4.469]],
  "species": ["Sc", "Mo", "Mo", "Mo", "Cl"],
  "fractional_positions": [[0.000, 0.000, 0.000], [0.000, 0.500, 0.500], [0.500, 0.000, 0.500], [0.500, 0.500, 0.000], [0.500, 0.500, 0.500]]
}

Arrangement b

{
  "formula": "ScMo3Cl",
  "functional": "PBE",
  "state": "relaxed",
  "density_g_cm3": 5.7,
  "lattice": [[4.763, 0.000, 0.000], [0.000, 4.763, 0.000], [0.000, 0.000, 4.763]],
  "species": ["Sc", "Mo", "Mo", "Mo", "Cl"],
  "fractional_positions": [[0.000, 0.000, 0.000], [0.000, 0.000, 0.500], [0.000, 0.500, 0.000], [0.500, 0.000, 0.000], [0.500, 0.500, 0.500]]
}

It turns out arrangement a is the most stable, with the second structure 1579 meV per atom higher.

Arrangement a

{
  "formula": "MoSe2Cl",
  "functional": "PBE",
  "state": "relaxed",
  "density_g_cm3": 6.9,
  "lattice": [[6.545, 0.000, 0.000], [0.000, 6.545, 0.000], [0.000, 0.000, 6.545]],
  "species": ["Mo", "Mo", "Mo", "Mo", "Se", "Se", "Se", "Se", "Se", "Se", "Se", "Se", "Cl", "Cl", "Cl", "Cl"],
  "fractional_positions": [[0.000, 0.000, 0.000], [0.000, 0.500, 0.500], [0.500, 0.000, 0.500], [0.500, 0.500, 0.000], [0.000, 0.000, 0.500], [0.000, 0.500, 0.000], [0.250, 0.250, 0.750], [0.250, 0.750, 0.250], [0.500, 0.000, 0.000], [0.500, 0.500, 0.500], [0.750, 0.250, 0.250], [0.750, 0.750, 0.750], [0.250, 0.250, 0.250], [0.250, 0.750, 0.750], [0.750, 0.250, 0.750], [0.750, 0.750, 0.250]]
}

Arrangement b

{
  "formula": "MoSe2Cl",
  "functional": "PBE",
  "state": "relaxed",
  "density_g_cm3": 5.6,
  "lattice": [[3.057, 0.000, 0.000], [0.000, 3.057, 0.000], [0.000, 0.000, 9.145]],
  "species": ["Mo", "Se", "Se", "Cl"],
  "fractional_positions": [[0.000, 0.000, 0.000], [0.500, 0.500, 0.172], [0.500, 0.500, 0.828], [0.000, 0.000, 0.500]]
}

Arrangement c

{
  "formula": "MoSe2Cl",
  "functional": "PBE",
  "state": "relaxed",
  "density_g_cm3": 6.5,
  "lattice": [[6.648, 0.000, 0.000], [0.000, 6.648, 0.000], [0.000, 0.000, 6.648]],
  "species": ["Mo", "Mo", "Mo", "Mo", "Se", "Se", "Se", "Se", "Se", "Se", "Se", "Se", "Cl", "Cl", "Cl", "Cl"],
  "fractional_positions": [[0.000, 0.000, 0.000], [0.000, 0.500, 0.500], [0.500, 0.000, 0.500], [0.500, 0.500, 0.000], [0.250, 0.250, 0.250], [0.250, 0.250, 0.750], [0.250, 0.750, 0.250], [0.250, 0.750, 0.750], [0.750, 0.250, 0.250], [0.750, 0.250, 0.750], [0.750, 0.750, 0.250], [0.750, 0.750, 0.750], [0.000, 0.000, 0.500], [0.000, 0.500, 0.000], [0.500, 0.000, 0.000], [0.500, 0.500, 0.500]]
}

It turns out arrangement b is the most stable, with the second structure 567 meV per atom higher.

Arrangement a

{
  "formula": "MoSe2Cl",
  "functional": "PBE",
  "state": "relaxed",
  "density_g_cm3": 3.7,
  "lattice": [[6.586, 0.000, 0.000], [0.000, 3.240, 0.000], [-2.709, 0.000, 6.090]],
  "species": ["Mo", "Se", "Se", "Cl"],
  "fractional_positions": [[0.000, 0.000, 0.000], [0.241, 0.500, 0.925], [0.685, 0.000, 0.692], [0.944, 0.500, 0.257]]
}

Arrangement b

{
  "formula": "MoSe2Cl",
  "functional": "PBE",
  "state": "relaxed",
  "density_g_cm3": 4.2,
  "lattice": [[6.722, 0.000, 0.000], [0.000, 6.722, 0.000], [0.000, 0.000, 10.081]],
  "species": ["Mo", "Mo", "Mo", "Mo", "Se", "Se", "Se", "Se", "Se", "Se", "Se", "Se", "Cl", "Cl", "Cl", "Cl"],
  "fractional_positions": [[0.000, 0.000, 0.000], [0.000, 0.500, 0.250], [0.500, 0.000, 0.750], [0.500, 0.500, 0.500], [0.166, 0.250, 0.125], [0.250, 0.666, 0.375], [0.250, 0.834, 0.875], [0.334, 0.250, 0.625], [0.666, 0.750, 0.625], [0.750, 0.166, 0.875], [0.750, 0.334, 0.375], [0.834, 0.750, 0.125], [0.000, 0.000, 0.500], [0.000, 0.500, 0.750], [0.500, 0.000, 0.250], [0.500, 0.500, 0.000]]
}

It turns out arrangement a is the most stable, with the second structure 406 meV per atom higher.

Arrangement a

{
  "formula": "MoSe2Cl",
  "functional": "PBE",
  "state": "relaxed",
  "density_g_cm3": 5.6,
  "lattice": [[2.842, 0.000, 0.000], [-1.421, 2.461, 0.000], [0.000, 0.000, 36.933]],
  "species": ["Mo", "Mo", "Mo", "Se", "Se", "Se", "Se", "Se", "Se", "Cl", "Cl", "Cl"],
  "fractional_positions": [[0.000, 0.000, 0.000], [0.333, 0.667, 0.667], [0.667, 0.333, 0.333], [0.000, 0.000, 0.070], [0.000, 0.000, 0.930], [0.333, 0.667, 0.597], [0.333, 0.667, 0.737], [0.667, 0.333, 0.263], [0.667, 0.333, 0.403], [0.000, 0.000, 0.500], [0.333, 0.667, 0.167], [0.667, 0.333, 0.833]]
}

Arrangement b

{
  "formula": "MoSe2Cl",
  "functional": "PBE",
  "state": "relaxed",
  "density_g_cm3": 6.1,
  "lattice": [[3.370, 0.000, 0.000], [-1.685, 2.918, 0.000], [0.000, 0.000, 23.945]],
  "species": ["Mo", "Mo", "Mo", "Se", "Se", "Se", "Se", "Se", "Se", "Cl", "Cl", "Cl"],
  "fractional_positions": [[0.000, 0.000, 0.000], [0.333, 0.667, 0.667], [0.667, 0.333, 0.333], [0.000, 0.000, 0.263], [0.000, 0.000, 0.737], [0.333, 0.667, 0.404], [0.333, 0.667, 0.929], [0.667, 0.333, 0.071], [0.667, 0.333, 0.596], [0.000, 0.000, 0.500], [0.333, 0.667, 0.167], [0.667, 0.333, 0.833]]
}

Arrangement c

{
  "formula": "MoSe2Cl",
  "functional": "PBE",
  "state": "relaxed",
  "density_g_cm3": 5.8,
  "lattice": [[5.076, 0.000, 0.000], [0.000, 8.317, 0.000], [-0.036, 0.000, 3.944]],
  "species": ["Mo", "Mo", "Se", "Se", "Se", "Se", "Cl", "Cl"],
  "fractional_positions": [[0.000, 0.000, 0.000], [0.500, 0.500, 0.000], [0.250, 0.250, 0.500], [0.250, 0.750, 0.500], [0.750, 0.250, 0.500], [0.750, 0.750, 0.500], [0.000, 0.500, 0.000], [0.500, 0.000, 0.000]]
}

It turns out arrangement b is the most stable, with the second structure 751 meV per atom higher.